1.
This record from Alexandria describes a PBEsol-optimized structure of LaIn2Te. The functional is meta-GGA SCAN.

Summary:
DFT total energy: -37.51 eV per atom
Formation energy (no corrections): -283 kJ/mol of formula units
Total magnetization: 0.00 μB per formula unit

abc: 6.421 6.421 6.421
angles: 139.67 139.51 58.47
Atoms (fractional coordinates):
La 0.000 0.000 0.000
In 0.250 0.750 0.500
In 0.750 0.250 0.500
Te 0.500 0.500 0.000

2.
This record from Alexandria describes a PBEsol-optimized structure of LaInTe2. The functional is meta-GGA SCAN.

Summary:
DFT total energy: -38.99 eV per atom
Formation energy (no corrections): -479 kJ/mol of formula units
Total magnetization: 0.00 μB per formula unit

abc: 4.359 4.633 6.315
angles: 90.00 110.18 90.00
Atoms (fractional coordinates):
La 0.000 0.000 0.000
In 0.806 0.500 0.605
Te 0.290 0.000 0.577
Te 0.562 0.500 0.125